## Dy3CuGeSe7 (PBEsol)

Data for a geometry-optimized Dy3CuGeSe7 structure.

Unit cell a=10.1830 b=10.1830 c=5.9520 alpha=90.00 beta=90.00 gamma=120.00
Space group P6_3 (No. 173)
Inequivalent atoms, fractional coordinates:
Dy: 0.1335 0.3555 0.0000 x6
Cu: 0.0000 0.0000 0.4590 x2
Ge: 0.3333 0.6667 0.5826 x2
Se: 0.0906 0.5750 0.7504 x6
Se: 0.1010 0.2630 0.4750 x6
Se: 0.3333 0.6667 0.1911 x2

Output
M_tot   0.00 μB per formula unit
ΔE_f (raw)   -1290 meV per atom
Final energy   -5.553 eV per atom
Crystal system   hexagonal